Record 1
# Li2Cu3Ge

A relaxed Li2Cu3Ge crystal (GGA-PBEsol, Alexandria via LeMat-Bulk). Values from VASP.

Structure (Quantum ESPRESSO input):
```
&SYSTEM
  ibrav = 0, nat = 6, ntyp = 3
/
ATOMIC_SPECIES
Li 6.94 Li.upf
Cu 63.55 Cu.upf
Ge 72.64 Ge.upf
ATOMIC_POSITIONS angstrom
Li 0.0000 0.0000 1.4651
Li 0.0000 0.0000 10.1252
Cu -1.2327 -0.7117 3.8634
Cu -1.2327 0.7117 7.7268
Cu 0.0000 1.4234 3.8634
Ge 0.0000 0.0000 5.7951
CELL_PARAMETERS angstrom
2.4654 1.4234 3.8634
-2.4654 1.4234 3.8634
0.0000 -2.8468 3.8634
```

Values from the calculation:
- Density of states at the Fermi level: 1.9 states/eV/cell
- ρ: 5.66 g cm⁻³
- DFT formation energy: -1.0 eV/f.u.
- Energy: -3.817 eV per atom



Record 2
# RbLiCuGe2

A relaxed RbLiCuGe2 crystal (GGA-PBEsol, Alexandria via LeMat-Bulk). Values from VASP.

Structure (Quantum ESPRESSO input):
```
&SYSTEM
  ibrav = 0, nat = 5, ntyp = 4
/
ATOMIC_SPECIES
Rb 85.47 Rb.upf
Li 6.94 Li.upf
Cu 63.55 Cu.upf
Ge 72.64 Ge.upf
ATOMIC_POSITIONS angstrom
Rb 0.0000 0.0000 0.0000
Li 2.3539 2.3539 0.0000
Cu 2.3539 2.3539 2.5643
Ge 0.0000 2.3539 2.5643
Ge 2.3539 0.0000 2.5643
CELL_PARAMETERS angstrom
4.7079 0.0000 0.0000
0.0000 4.7079 0.0000
0.0000 0.0000 5.1287
```

Values from the calculation:
- Density of states at the Fermi level: 3.1 states/eV/cell
- ρ: 4.40 g cm⁻³
- DFT formation energy: 0.8 eV/f.u.
- Energy: -3.283 eV per atom



Record 3
# Li2CuGeW

A relaxed Li2CuGeW crystal (GGA-PBEsol, Alexandria via LeMat-Bulk). Values from VASP.

Structure (Quantum ESPRESSO input):
```
&SYSTEM
  ibrav = 0, nat = 5, ntyp = 4
/
ATOMIC_SPECIES
Li 6.94 Li.upf
Cu 63.55 Cu.upf
Ge 72.64 Ge.upf
W 183.84 W.upf
ATOMIC_POSITIONS angstrom
Li 0.0000 2.3973 0.0000
Li 2.3973 0.0000 0.0000
Cu 0.0000 0.0000 2.2927
Ge 2.3973 2.3973 2.2927
W 0.0000 0.0000 0.0000
CELL_PARAMETERS angstrom
4.7947 0.0000 0.0000
0.0000 4.7947 0.0000
0.0000 0.0000 4.5854
```

Values from the calculation:
- Density of states at the Fermi level: 4.4 states/eV/cell
- ρ: 5.26 g cm⁻³
- DFT formation energy: 8.4 eV/f.u.
- Energy: -3.726 eV per atom



Q: Look up the ρ of the second one.
A: 4.40 g cm⁻³